1.
A plane-wave DFT calculation with PBE was carried out for MnBePt2Se after structural relaxation.

Results
Magnetic moment ... 0.00 μB per atom
Space group ... P4/mmm (123)
Volume ... 86 Å³ per cell
Uncorrected formation energy ... 0.932 eV/atom

The structure in POSCAR format:
```
MnBePt2Se
1.0
4.575 0.000 0.000
0.000 4.115 0.000
0.000 0.000 4.575
Be Mn Se Pt
1 1 1 2
Direct
0.000 0.500 0.000
0.000 0.000 0.000
0.500 0.500 0.500
0.000 0.000 0.500
0.500 0.000 0.000
```

=====

2.
A plane-wave DFT calculation with PBE was carried out for LiUTl2Br6 after structural relaxation.

Results
Magnetic moment ... 0.30 μB per atom
Space group ... P2_1/c (14)
Volume ... 670 Å³ per cell
Uncorrected formation energy ... -1.157 eV/atom

The structure in POSCAR format:
```
LiUTl2Br6
1.0
7.637 0.000 -0.070
0.000 8.017 0.000
-0.032 0.000 10.947
Li U Tl Br
2 2 4 12
Direct
0.500 0.000 0.500
0.000 0.500 0.000
0.500 0.000 0.000
0.000 0.500 0.500
0.022 0.926 0.246
0.522 0.574 0.746
0.978 0.074 0.754
0.478 0.426 0.254
0.300 0.698 0.047
0.800 0.802 0.547
0.700 0.302 0.953
0.200 0.198 0.453
0.308 0.703 0.453
0.808 0.797 0.953
0.692 0.297 0.547
0.192 0.203 0.047
0.905 0.519 0.242
0.405 0.981 0.742
0.095 0.481 0.758
0.595 0.019 0.258
```

=====

3.
A plane-wave DFT calculation with PBE was carried out for Cs3Tb2MnTe6 after structural relaxation.

Results
Magnetic moment ... 0.33 μB per atom
Space group ... C2/m (12)
Volume ... 464 Å³ per cell
Uncorrected formation energy ... -1.045 eV/atom

The structure in POSCAR format:
```
Cs3Tb2MnTe6
1.0
-5.450 -4.143 -3.556
3.699 -3.174 5.979
-5.486 5.841 4.670
Cs Tb Mn Te
3 2 1 6
Direct
0.176 0.824 0.500
0.824 0.176 0.500
0.500 0.500 0.500
0.338 0.662 0.000
0.662 0.338 0.000
0.000 0.000 0.000
0.944 0.638 0.825
0.736 0.736 0.200
0.056 0.362 0.175
0.638 0.944 0.825
0.264 0.264 0.800
0.362 0.056 0.175
```

=====

4.
A plane-wave DFT calculation with PBE was carried out for CrHIr after structural relaxation.

Results
E above lowest polymorph ... 0.0712 eV per atom
Magnetic moment ... 0.00 μB per atom
Space group ... P2/m (10)
Volume ... 60 Å³ per cell

The structure in POSCAR format:
```
CrHIr
1.0
-1.227 -2.418 0.215
2.562 -0.943 3.996
-1.568 1.254 5.154
Cr Ir H
2 2 2
Direct
0.500 0.499 0.209
0.500 0.501 0.791
0.000 0.031 0.235
0.000 0.969 0.765
0.500 0.271 0.615
0.500 0.729 0.385
```

=====

5.
A plane-wave DFT calculation with PBE was carried out for SrCdInNi after structural relaxation.

Results
E above lowest polymorph ... 0.1316 eV per atom
Magnetic moment ... 0.00 μB per atom
Space group ... Amm2 (38)
Volume ... 201 Å³ per cell

The structure in POSCAR format:
```
SrCdInNi
1.0
-2.017 -1.960 -2.264
3.545 -0.162 -3.018
3.947 -10.040 5.174
Sr Cd In Ni
2 2 2 2
Direct
0.000 0.000 0.126
0.000 0.500 0.626
0.500 0.000 0.451
0.500 0.500 0.951
0.000 0.000 0.839
0.000 0.500 0.339
0.500 0.000 0.678
0.500 0.500 0.178
```

=====

6.
A plane-wave DFT calculation with PBE was carried out for SiTe2W after structural relaxation.

Results
Magnetic moment ... 0.55 μB per atom
Space group ... I4/mmm (139)
Volume ... 93 Å³ per cell
Uncorrected formation energy ... 0.914 eV/atom

The structure in POSCAR format:
```
SiTe2W
1.0
-0.206 -4.788 1.219
3.986 0.873 -2.795
4.014 -1.268 2.596
Si Te W
1 2 1
Direct
0.500 0.000 0.500
0.000 0.000 0.000
0.000 0.500 0.500
0.500 0.500 0.000
```

=====

7.
A plane-wave DFT calculation with PBE was carried out for SrNpNiSe3 after structural relaxation.

Results
Magnetic moment ... 0.52 μB per atom
Space group ... P2_1/m (11)
Volume ... 304 Å³ per cell
Uncorrected formation energy ... -1.201 eV/atom

The structure in POSCAR format:
```
SrNpNiSe3
1.0
-1.899 -2.527 2.539
6.250 1.178 5.848
-6.016 6.386 1.855
Sr Np Ni Se
2 2 2 6
Direct
0.250 0.183 0.239
0.750 0.817 0.761
0.250 0.676 0.167
0.750 0.324 0.833
0.250 0.085 0.585
0.750 0.915 0.415
0.750 0.898 0.137
0.250 0.102 0.863
0.250 0.794 0.485
0.750 0.206 0.515
0.750 0.437 0.169
0.250 0.563 0.831
```

=====

8.
A plane-wave DFT calculation with PBE was carried out for LaPr4Th3As8 after structural relaxation.

Results
Total energy ... -6.715 eV per atom
Magnetic moment ... 0.00 μB per atom
Space group ... R-3m (166)
Volume ... 448 Å³ per cell

The structure in POSCAR format:
```
LaPr4Th3As8
1.0
-4.199 -6.255 -4.135
5.882 0.181 -6.247
2.430 -1.126 8.166
La Pr Th As
1 4 3 8
Direct
0.000 0.500 0.000
0.500 0.000 0.000
0.500 0.000 0.500
0.000 0.000 0.000
0.000 0.000 0.500
0.500 0.500 0.000
0.500 0.500 0.500
0.000 0.500 0.500
0.251 0.746 0.995
0.251 0.746 0.501
0.252 0.256 0.504
0.744 0.746 0.995
0.256 0.254 0.005
0.748 0.744 0.496
0.749 0.254 0.499
0.749 0.254 0.005
```